# 1
A plane-wave DFT calculation with PBE was carried out for an optimized crystal structure of LiHf3V.

Structure (CIF):
```
data_LiHf3V
_cell_length_a 4.670
_cell_length_b 4.670
_cell_length_c 4.670
_cell_angle_alpha 90.00
_cell_angle_beta 90.00
_cell_angle_gamma 90.00
_space_group_name_H-M_alt 'P m -3 m'
_space_group_IT_number 221
_space_group_name_Hall '-P 4 2 3'
loop_
_atom_site_label
_atom_site_type_symbol
_atom_site_fract_x
_atom_site_fract_y
_atom_site_fract_z
Li1 Li 0.000 0.000 0.000
Hf1 Hf 0.000 0.000 0.500
V1 V 0.500 0.500 0.500
```

## Properties
The value obtained for the relative energy among the computed polymorphs is 255.1 meV/atom. The value obtained for the energy of formation from the pure elements is 1.03 eV/atom.

# 2
A plane-wave DFT calculation with PBE was carried out for an optimized crystal structure of LiHf2V.

Structure (CIF):
```
data_LiHf2V
_cell_length_a 7.042
_cell_length_b 7.042
_cell_length_c 11.656
_cell_angle_alpha 90.00
_cell_angle_beta 90.00
_cell_angle_gamma 90.00
_space_group_name_H-M_alt 'I -4 2 d'
_space_group_IT_number 122
_space_group_name_Hall 'I -4 2bw'
loop_
_atom_site_label
_atom_site_type_symbol
_atom_site_fract_x
_atom_site_fract_y
_atom_site_fract_z
Li1 Li 0.000 0.000 0.000
Hf1 Hf 0.001 0.250 0.625
V1 V 0.000 0.000 0.500
```

## Properties
The value obtained for the relative energy among the computed polymorphs is 1476.9 meV/atom. The value obtained for the energy of formation from the pure elements is 1.69 eV/atom.

# 3
A plane-wave DFT calculation with PBE was carried out for an optimized crystal structure of Li3HfV.

Structure (CIF):
```
data_Li3HfV
_cell_length_a 4.536
_cell_length_b 4.536
_cell_length_c 4.536
_cell_angle_alpha 90.00
_cell_angle_beta 90.00
_cell_angle_gamma 90.00
_space_group_name_H-M_alt 'P m -3 m'
_space_group_IT_number 221
_space_group_name_Hall '-P 4 2 3'
loop_
_atom_site_label
_atom_site_type_symbol
_atom_site_fract_x
_atom_site_fract_y
_atom_site_fract_z
Li1 Li 0.000 0.000 0.500
Hf1 Hf 0.500 0.500 0.500
V1 V 0.000 0.000 0.000
```

## Properties
The value obtained for the relative energy among the computed polymorphs is 0.0 meV/atom. The value obtained for the energy of formation from the pure elements is 1.14 eV/atom.

# 4
A plane-wave DFT calculation with PBE was carried out for an optimized crystal structure of LiHf2V.

Structure (CIF):
```
data_LiHf2V
_cell_length_a 6.630
_cell_length_b 6.630
_cell_length_c 6.630
_cell_angle_alpha 90.00
_cell_angle_beta 90.00
_cell_angle_gamma 90.00
_space_group_name_H-M_alt 'F m -3 m'
_space_group_IT_number 225
_space_group_name_Hall '-F 4 2 3'
loop_
_atom_site_label
_atom_site_type_symbol
_atom_site_fract_x
_atom_site_fract_y
_atom_site_fract_z
Li1 Li 0.000 0.000 0.000
Hf1 Hf 0.250 0.250 0.250
V1 V 0.000 0.000 0.500
```

## Properties
The value obtained for the relative energy among the computed polymorphs is 0.0 meV/atom. The value obtained for the energy of formation from the pure elements is 0.21 eV/atom.

# 5
A plane-wave DFT calculation with PBE was carried out for an optimized crystal structure of LiHf3V.

Structure (CIF):
```
data_LiHf3V
_cell_length_a 4.915
_cell_length_b 4.915
_cell_length_c 4.915
_cell_angle_alpha 90.00
_cell_angle_beta 90.00
_cell_angle_gamma 90.00
_space_group_name_H-M_alt 'P m -3 m'
_space_group_IT_number 221
_space_group_name_Hall '-P 4 2 3'
loop_
_atom_site_label
_atom_site_type_symbol
_atom_site_fract_x
_atom_site_fract_y
_atom_site_fract_z
Li1 Li 0.000 0.000 0.000
Hf1 Hf 0.000 0.500 0.500
V1 V 0.500 0.500 0.500
```

## Properties
The value obtained for the relative energy among the computed polymorphs is 0.0 meV/atom. The value obtained for the energy of formation from the pure elements is 0.78 eV/atom.

# 6
A plane-wave DFT calculation with PBE was carried out for an optimized crystal structure of LiHf3W.

Structure (CIF):
```
data_LiHf3W
_cell_length_a 4.573
_cell_length_b 4.573
_cell_length_c 4.573
_cell_angle_alpha 90.00
_cell_angle_beta 90.00
_cell_angle_gamma 90.00
_space_group_name_H-M_alt 'P m -3 m'
_space_group_IT_number 221
_space_group_name_Hall '-P 4 2 3'
loop_
_atom_site_label
_atom_site_type_symbol
_atom_site_fract_x
_atom_site_fract_y
_atom_site_fract_z
Li1 Li 0.000 0.000 0.000
Hf1 Hf 0.000 0.000 0.500
W1 W 0.500 0.500 0.500
```

## Properties
The value obtained for the relative energy among the computed polymorphs is 218.2 meV/atom. The value obtained for the energy of formation from the pure elements is 1.12 eV/atom.

# 7
A plane-wave DFT calculation with PBE was carried out for an optimized crystal structure of Li2HfW4.

Structure (CIF):
```
data_Li2HfW4
_cell_length_a 4.776
_cell_length_b 4.776
_cell_length_c 12.208
_cell_angle_alpha 90.00
_cell_angle_beta 90.00
_cell_angle_gamma 90.00
_space_group_name_H-M_alt 'I 4/m m m'
_space_group_IT_number 139
_space_group_name_Hall '-I 4 2'
loop_
_atom_site_label
_atom_site_type_symbol
_atom_site_fract_x
_atom_site_fract_y
_atom_site_fract_z
Li1 Li 0.000 0.000 0.098
Hf1 Hf 0.000 0.000 0.500
W1 W 0.000 0.000 0.292
W2 W 0.000 0.500 0.000
```

## Properties
The value obtained for the energy of formation from the pure elements is 2.46 eV/atom.

# 8
A plane-wave DFT calculation with PBE was carried out for an optimized crystal structure of LiHf3W.

Structure (CIF):
```
data_LiHf3W
_cell_length_a 5.119
_cell_length_b 5.119
_cell_length_c 5.119
_cell_angle_alpha 90.00
_cell_angle_beta 90.00
_cell_angle_gamma 90.00
_space_group_name_H-M_alt 'P m -3 m'
_space_group_IT_number 221
_space_group_name_Hall '-P 4 2 3'
loop_
_atom_site_label
_atom_site_type_symbol
_atom_site_fract_x
_atom_site_fract_y
_atom_site_fract_z
Li1 Li 0.000 0.000 0.000
Hf1 Hf 0.000 0.500 0.500
W1 W 0.500 0.500 0.500
```

## Properties
The value obtained for the relative energy among the computed polymorphs is 0.0 meV/atom. The value obtained for the energy of formation from the pure elements is 0.91 eV/atom.

# 9
A plane-wave DFT calculation with PBE was carried out for an optimized crystal structure of LiHfZrW.

Structure (CIF):
```
data_LiHfZrW
_cell_length_a 6.662
_cell_length_b 6.662
_cell_length_c 6.662
_cell_angle_alpha 90.00
_cell_angle_beta 90.00
_cell_angle_gamma 90.00
_space_group_name_H-M_alt 'F -4 3 m'
_space_group_IT_number 216
_space_group_name_Hall 'F -4 2 3'
loop_
_atom_site_label
_atom_site_type_symbol
_atom_site_fract_x
_atom_site_fract_y
_atom_site_fract_z
Li1 Li 0.000 0.000 0.000
Hf1 Hf 0.250 0.250 0.250
Zr1 Zr 0.250 0.250 0.750
W1 W 0.000 0.000 0.500
```

## Properties
The value obtained for the energy of formation from the pure elements is 0.12 eV/atom.

# 10
A plane-wave DFT calculation with PBE was carried out for an optimized crystal structure of LiYHf2.

Structure (CIF):
```
data_LiYHf2
_cell_length_a 4.148
_cell_length_b 4.148
_cell_length_c 22.141
_cell_angle_alpha 90.00
_cell_angle_beta 90.00
_cell_angle_gamma 90.00
_space_group_name_H-M_alt 'I -4 2 d'
_space_group_IT_number 122
_space_group_name_Hall 'I -4 2bw'
loop_
_atom_site_label
_atom_site_type_symbol
_atom_site_fract_x
_atom_site_fract_y
_atom_site_fract_z
Li1 Li 0.000 0.000 0.000
Y1 Y 0.000 0.000 0.500
Hf1 Hf 0.243 0.750 0.125
```

## Properties
The value obtained for the relative energy among the computed polymorphs is 48.5 meV/atom. The value obtained for the energy of formation from the pure elements is 0.58 eV/atom.

# 11
A plane-wave DFT calculation with PBE was carried out for an optimized crystal structure of LiY3Hf.

Structure (CIF):
```
data_LiY3Hf
_cell_length_a 5.236
_cell_length_b 5.236
_cell_length_c 5.236
_cell_angle_alpha 90.00
_cell_angle_beta 90.00
_cell_angle_gamma 90.00
_space_group_name_H-M_alt 'P m -3 m'
_space_group_IT_number 221
_space_group_name_Hall '-P 4 2 3'
loop_
_atom_site_label
_atom_site_type_symbol
_atom_site_fract_x
_atom_site_fract_y
_atom_site_fract_z
Li1 Li 0.000 0.000 0.000
Y1 Y 0.000 0.000 0.500
Hf1 Hf 0.500 0.500 0.500
```

## Properties
The value obtained for the relative energy among the computed polymorphs is 51.5 meV/atom. The value obtained for the energy of formation from the pure elements is 0.70 eV/atom.

# 12
A plane-wave DFT calculation with PBE was carried out for an optimized crystal structure of LiY3Hf.

Structure (CIF):
```
data_LiY3Hf
_cell_length_a 5.656
_cell_length_b 5.656
_cell_length_c 5.656
_cell_angle_alpha 90.00
_cell_angle_beta 90.00
_cell_angle_gamma 90.00
_space_group_name_H-M_alt 'P m -3 m'
_space_group_IT_number 221
_space_group_name_Hall '-P 4 2 3'
loop_
_atom_site_label
_atom_site_type_symbol
_atom_site_fract_x
_atom_site_fract_y
_atom_site_fract_z
Li1 Li 0.000 0.000 0.000
Y1 Y 0.000 0.500 0.500
Hf1 Hf 0.500 0.500 0.500
```

## Properties
The value obtained for the relative energy among the computed polymorphs is 0.0 meV/atom. The value obtained for the energy of formation from the pure elements is 0.65 eV/atom.

# 13
A plane-wave DFT calculation with PBE was carried out for an optimized crystal structure of Li3YHf.

Structure (CIF):
```
data_Li3YHf
_cell_length_a 4.801
_cell_length_b 4.801
_cell_length_c 4.801
_cell_angle_alpha 90.00
_cell_angle_beta 90.00
_cell_angle_gamma 90.00
_space_group_name_H-M_alt 'P m -3 m'
_space_group_IT_number 221
_space_group_name_Hall '-P 4 2 3'
loop_
_atom_site_label
_atom_site_type_symbol
_atom_site_fract_x
_atom_site_fract_y
_atom_site_fract_z
Li1 Li 0.000 0.000 0.500
Y1 Y 0.000 0.000 0.000
Hf1 Hf 0.500 0.500 0.500
```

## Properties
The value obtained for the relative energy among the computed polymorphs is 210.6 meV/atom. The value obtained for the energy of formation from the pure elements is 1.28 eV/atom.